Entry 1:
Entry from the Alexandria database: a relaxed structure of SrMgTeI2 (PBE).

Properties
M_tot (μB per formula unit): 0.000
Symmetry: P4/mmm (123)
Electronic total energy (eV per formula unit): -14.5
Energy above the most stable polymorph in this dataset (kJ per mole of atoms): 0.00

a = 5.6166 Å, b = 5.6166 Å, c = 5.8355 Å
α = 90.00°, β = 90.00°, γ = 90.00°
Element x y z (fractional)
Mg (0.0000, 0.0000, 0.0000)
Sr (0.5000, 0.5000, 0.5000)
I (0.5000, 0.0000, 0.0000)
I (0.0000, 0.5000, 0.0000)
Te (0.0000, 0.0000, 0.5000)

***

Entry 2:
Entry from the Alexandria database: a relaxed structure of Tm2HgAu (PBE).

Properties
M_tot (μB per formula unit): 0.000
Symmetry: Fm-3m (225)
Electronic total energy (eV per formula unit): -15.2
Energy above the most stable polymorph in this dataset (kJ per mole of atoms): 1.04
Formation energy from the elements (eV/atom): -0.677

a = 5.1094 Å, b = 5.1094 Å, c = 5.1094 Å
α = 60.00°, β = 60.00°, γ = 60.00°
Element x y z (fractional)
Tm (0.2500, 0.2500, 0.2500)
Tm (0.7500, 0.7500, 0.7500)
Hg (0.0000, 0.0000, 0.0000)
Au (0.5000, 0.5000, 0.5000)

***

Entry 3:
Entry from the Alexandria database: a relaxed structure of SmTmBiO2 (PBE).

Properties
M_tot (μB per formula unit): 0.000
Symmetry: I4mm (107)
Electronic total energy (eV per formula unit): -36.3

a = 3.9026 Å, b = 3.9026 Å, c = 7.3632 Å
α = 105.37°, β = 105.37°, γ = 90.00°
Element x y z (fractional)
Bi (0.5038, 0.5038, 0.0077)
O (0.7456, 0.2456, 0.4912)
O (0.2456, 0.7456, 0.4912)
Tm (0.1705, 0.1705, 0.3411)
Sm (0.8344, 0.8344, 0.6688)

***

Entry 4:
Entry from the Alexandria database: a relaxed structure of Ca2MgMnTe (PBE).

Properties
M_tot (μB per formula unit): 4.520
Symmetry: P4/mmm (123)
Electronic total energy (eV per formula unit): -16.7

a = 5.8317 Å, b = 5.8317 Å, c = 5.4393 Å
α = 90.00°, β = 90.00°, γ = 90.00°
Site moments in Bohr magnetons follow the coordinates.
Element x y z (fractional)
Mn (0.5000, 0.5000, 0.5000)  4.37
Te (0.0000, 0.0000, 0.0000)  0.00
Ca (0.5000, 0.0000, 0.0000)  -0.02
Ca (0.0000, 0.5000, 0.0000)  -0.02
Mg (0.0000, 0.0000, 0.5000)  -0.01

***

Which formula does entry 3 have?
SmTmBiO2